Entry from Alexandria: Pu3ScC after structural relaxation (PBE).

Structure (POSCAR):
```
Pu3ScC
1.0
4.8625 0.0000 0.0000
0.0000 4.8625 0.0000
0.0000 0.0000 4.8625
Sc Pu C
1 3 1
Cartesian
2.4312 2.4312 2.4312
2.4312 0.0000 0.0000
0.0000 0.0000 2.4312
0.0000 2.4312 0.0000
0.0000 0.0000 0.0000
```

Properties
* total magnetic moment: 15.92 μB per formula unit
* E: -57.54 eV per formula unit
* SG: Pm-3m
* ΔH_f (0 K): 0.20 eV per atom